Below is Mg2Sc3Pd4 after structural relaxation, with properties calculated at the GGA-PBE level.

Summary:
ΔE_f = -69.5 kJ per mole of atoms
final energy = -49.44 eV/f.u.
magnetization = 0.00 Bohr magnetons per cell
crystal system = trigonal

Lattice parameters (Å, degrees): 4.6005 4.6005 8.8439 90.00 90.00 120.00
Last column: nearest neighbours and their distance in Å.
Space group P-3m1 (No. 164)
Inequivalent atoms, fractional coordinates:
Mg  0.3333  0.6667  0.2883 [2 per cell]  7 Pd 2.77-2.87
Sc  0.0000  0.0000  0.5000 [1 per cell]  8 Pd 2.80-2.95
Sc  0.3333  0.6667  0.9094 [2 per cell]  4 Pd 2.73-2.74
Pd  0.0000  0.0000  0.1661 [2 per cell]  4 Sc 2.74-2.95, 3 Mg 2.87, 1 Pd 2.94
Pd  0.3333  0.6667  0.6013 [2 per cell]  4 Sc 2.73-2.80, 4 Mg 2.77-2.83